Record 1
Computed, not measured: crystalline AlZnGa2Ru at its relaxed geometry at the GGA-PBEsol level of DFT.

Properties
**Size of the total moment**: 2.0 μB per formula unit
**V**: 99.0 Å³/cell
**Energy of formation from the pure elements**: 584 kJ/mol of formula units
**E_tot**: -3.29 eV/atom

Cell and atoms, written as CIF:
```
data_AlZnGa2Ru
_symmetry_space_group_name_H-M 'P 4/m m m'
_symmetry_Int_Tables_number 123
_symmetry_space_group_name_Hall '-P 4 2'
_cell_length_a 4.671
_cell_length_b 4.671
_cell_length_c 4.538
_cell_angle_alpha 90.00
_cell_angle_beta 90.00
_cell_angle_gamma 90.00
loop_
_atom_site_label
_atom_site_fract_x
_atom_site_fract_y
_atom_site_fract_z
_atom_site_occupancy
Al1 0.000 0.000 0.000 1
Zn1 0.000 0.000 0.500 1
Ga1 0.000 0.500 0.000 1
Ru1 0.500 0.500 0.500 1
```


Record 2
Computed, not measured: crystalline Al2GaS at its relaxed geometry at the GGA-PBEsol level of DFT.

Properties
**Size of the total moment**: 0.0 μB per formula unit
**V**: 260.5 Å³/cell
**E_tot**: -3.89 eV/atom
**Uncorrected formation energy**: 8.84 kJ/mol of atoms

Cell and atoms, written as CIF:
```
data_Al2GaS
_symmetry_space_group_name_H-M 'F m -3 m'
_symmetry_Int_Tables_number 225
_symmetry_space_group_name_Hall '-F 4 2 3'
_cell_length_a 6.386
_cell_length_b 6.386
_cell_length_c 6.386
_cell_angle_alpha 90.00
_cell_angle_beta 90.00
_cell_angle_gamma 90.00
loop_
_atom_site_label
_atom_site_fract_x
_atom_site_fract_y
_atom_site_fract_z
_atom_site_occupancy
Al1 0.250 0.250 0.250 1
Ga1 0.000 0.000 0.000 1
S1 0.000 0.000 0.500 1
```


Record 3
Computed, not measured: crystalline Al4GaSb5 at its relaxed geometry at the GGA-PBEsol level of DFT.

Properties
**Size of the total moment**: 0.0 μB per formula unit
**V**: 583.8 Å³/cell
**E_tot**: -4.36 eV/atom
**Uncorrected formation energy**: -10.81 kJ/mol of atoms

Cell and atoms, written as CIF:
```
data_Al4GaSb5
_symmetry_space_group_name_H-M 'I m m 2'
_symmetry_Int_Tables_number 44
_cell_length_a 4.354
_cell_length_b 21.773
_cell_length_c 6.158
_cell_angle_alpha 90.00
_cell_angle_beta 90.00
_cell_angle_gamma 90.00
loop_
_symmetry_equiv_pos_as_xyz
'x,y,z'
'-x,-y,z'
'-x,y,z'
'x,-y,z'
'x+1/2,y+1/2,z+1/2'
'-x+1/2,-y+1/2,z+1/2'
'-x+1/2,y+1/2,z+1/2'
'x+1/2,-y+1/2,z+1/2'
loop_
_atom_site_label
_atom_site_fract_x
_atom_site_fract_y
_atom_site_fract_z
_atom_site_occupancy
Al1 0.000 0.100 0.000 1
Al2 0.000 0.300 0.000 1
Ga1 0.000 0.500 0.000 1
Sb1 0.000 0.000 0.747 1
Sb2 0.000 0.200 0.751 1
Sb3 0.000 0.401 0.751 1
```


Record 4
Computed, not measured: crystalline AlGa2Sb at its relaxed geometry at the GGA-PBEsol level of DFT.

Properties
**Size of the total moment**: 0.0 μB per formula unit
**V**: 324.1 Å³/cell
**E_tot**: -3.69 eV/atom
**Uncorrected formation energy**: 14.12 kJ/mol of atoms

Cell and atoms, written as CIF:
```
data_AlGa2Sb
_symmetry_space_group_name_H-M 'F m -3 m'
_symmetry_Int_Tables_number 225
_symmetry_space_group_name_Hall '-F 4 2 3'
_cell_length_a 6.869
_cell_length_b 6.869
_cell_length_c 6.869
_cell_angle_alpha 90.00
_cell_angle_beta 90.00
_cell_angle_gamma 90.00
loop_
_atom_site_label
_atom_site_fract_x
_atom_site_fract_y
_atom_site_fract_z
_atom_site_occupancy
Al1 0.000 0.000 0.000 1
Ga1 0.250 0.250 0.250 1
Sb1 0.000 0.000 0.500 1
```


Record 5
Computed, not measured: crystalline ScAl3Ga at its relaxed geometry at the GGA-PBEsol level of DFT.

Properties
**Size of the total moment**: 0.0 μB per formula unit
**V**: 108.4 Å³/cell
**Energy of formation from the pure elements**: 215 kJ/mol of formula units
**E_tot**: -4.00 eV/atom

Cell and atoms, written as CIF:
```
data_ScAl3Ga
_symmetry_space_group_name_H-M 'P m -3 m'
_symmetry_Int_Tables_number 221
_symmetry_space_group_name_Hall '-P 4 2 3'
_cell_length_a 4.768
_cell_length_b 4.768
_cell_length_c 4.768
_cell_angle_alpha 90.00
_cell_angle_beta 90.00
_cell_angle_gamma 90.00
loop_
_atom_site_label
_atom_site_fract_x
_atom_site_fract_y
_atom_site_fract_z
_atom_site_occupancy
Sc1 0.000 0.000 0.000 1
Al1 0.000 0.500 0.500 1
Ga1 0.500 0.500 0.500 1
```


Record 6
Computed, not measured: crystalline Sc2Al2Ga at its relaxed geometry at the GGA-PBEsol level of DFT.

Properties
**Size of the total moment**: 0.0 μB per formula unit
**V**: 187.7 Å³/cell
**Energy of formation from the pure elements**: -222 kJ/mol of formula units
**E_tot**: -5.41 eV/atom

Cell and atoms, written as CIF:
```
data_Sc2Al2Ga
_symmetry_space_group_name_H-M 'P 4/m b m'
_symmetry_Int_Tables_number 127
_symmetry_space_group_name_Hall '-P 4 2ab'
_cell_length_a 6.616
_cell_length_b 6.616
_cell_length_c 4.288
_cell_angle_alpha 90.00
_cell_angle_beta 90.00
_cell_angle_gamma 90.00
loop_
_atom_site_label
_atom_site_fract_x
_atom_site_fract_y
_atom_site_fract_z
_atom_site_occupancy
Sc1 0.166 0.334 0.000 1
Al1 0.136 0.636 0.500 1
Ga1 0.000 0.000 0.500 1
```


Record 7
Computed, not measured: crystalline AlGaSe2 at its relaxed geometry at the GGA-PBEsol level of DFT.

Properties
**Size of the total moment**: 0.0 μB per formula unit
**V**: 390.8 Å³/cell
**E_tot**: -4.29 eV/atom
**Uncorrected formation energy**: -48.53 kJ/mol of atoms

Cell and atoms, written as CIF:
```
data_AlGaSe2
_symmetry_space_group_name_H-M 'I -4 2 d'
_symmetry_Int_Tables_number 122
_symmetry_space_group_name_Hall 'I -4 2bw'
_cell_length_a 6.976
_cell_length_b 6.976
_cell_length_c 8.029
_cell_angle_alpha 90.00
_cell_angle_beta 90.00
_cell_angle_gamma 90.00
loop_
_atom_site_label
_atom_site_fract_x
_atom_site_fract_y
_atom_site_fract_z
_atom_site_occupancy
Al1 0.000 0.000 0.000 1
Ga1 0.000 0.000 0.500 1
Se1 0.187 0.250 0.125 1
```


Record 8
Computed, not measured: crystalline AlGaSe2 at its relaxed geometry at the GGA-PBEsol level of DFT.

Properties
**Size of the total moment**: 0.0 μB per formula unit
**V**: 269.4 Å³/cell
**E_tot**: -3.90 eV/atom
**Uncorrected formation energy**: -11.47 kJ/mol of atoms

Cell and atoms, written as CIF:
```
data_AlGaSe2
_symmetry_space_group_name_H-M 'R -3 m'
_symmetry_Int_Tables_number 166
_symmetry_space_group_name_Hall '-R 3 2"'
_cell_length_a 3.6334
_cell_length_b 3.6334
_cell_length_c 23.5676
_cell_angle_alpha 90.00
_cell_angle_beta 90.00
_cell_angle_gamma 120.00
loop_
_atom_site_label
_atom_site_fract_x
_atom_site_fract_y
_atom_site_fract_z
_atom_site_occupancy
Al1 0.0000 0.0000 0.0000 1
Ga1 0.0000 0.0000 0.5000 1
Se1 0.0000 0.0000 0.1055 1
```


Record 9
Computed, not measured: crystalline AlGa3Si at its relaxed geometry at the GGA-PBEsol level of DFT.

Properties
**Size of the total moment**: 0.0 μB per formula unit
**V**: 111.4 Å³/cell
**E_tot**: -3.26 eV/atom
**Uncorrected formation energy**: 68.27 kJ/mol of atoms

Cell and atoms, written as CIF:
```
data_AlGa3Si
_symmetry_space_group_name_H-M 'P m -3 m'
_symmetry_Int_Tables_number 221
_symmetry_space_group_name_Hall '-P 4 2 3'
_cell_length_a 4.812
_cell_length_b 4.812
_cell_length_c 4.812
_cell_angle_alpha 90.00
_cell_angle_beta 90.00
_cell_angle_gamma 90.00
loop_
_atom_site_label
_atom_site_fract_x
_atom_site_fract_y
_atom_site_fract_z
_atom_site_occupancy
Al1 0.000 0.000 0.000 1
Ga1 0.000 0.000 0.500 1
Si1 0.500 0.500 0.500 1
```


Record 10
Computed, not measured: crystalline Al2GaSn at its relaxed geometry at the GGA-PBEsol level of DFT.

Properties
**Size of the total moment**: 0.0 μB per formula unit
**Offset from the most stable computed form**: 20 meV/atom
**V**: 324.7 Å³/cell
**Energy of formation from the pure elements**: 63 kJ/mol of formula units
**E_tot**: -3.78 eV/atom

Cell and atoms, written as CIF:
```
data_Al2GaSn
_symmetry_space_group_name_H-M 'I -4 2 d'
_symmetry_Int_Tables_number 122
_symmetry_space_group_name_Hall 'I -4 2bw'
_cell_length_a 7.540
_cell_length_b 7.540
_cell_length_c 5.711
_cell_angle_alpha 90.00
_cell_angle_beta 90.00
_cell_angle_gamma 90.00
loop_
_atom_site_label
_atom_site_fract_x
_atom_site_fract_y
_atom_site_fract_z
_atom_site_occupancy
Al1 0.225 0.750 0.125 1
Ga1 0.000 0.000 0.000 1
Sn1 0.000 0.000 0.500 1
```